A relaxed structure of ZnInC2F. Source: Alexandria, functional PBE.

Cell and atoms, written as CIF:
```
data_ZnInC2F
_chemical_formula_sum 'Zn1 In1 C2 F1'
_symmetry_space_group_name_H-M 'P 1'
_symmetry_Int_Tables_number 1
_symmetry_space_group_name_Hall 'P 1'
_cell_length_a 3.993
_cell_length_b 3.993
_cell_length_c 4.244
_cell_angle_alpha 90.00
_cell_angle_beta 90.00
_cell_angle_gamma 90.00
loop_
_atom_site_label
_atom_site_type_symbol
_atom_site_fract_x
_atom_site_fract_y
_atom_site_fract_z
Zn1 Zn 0.000 0.000 0.000
In1 In 0.500 0.500 0.500
C1 C 0.000 0.500 0.000
C2 C 0.500 0.000 0.000
F1 F 0.000 0.000 0.500
```

The value obtained for the calculated volume is 13.53 Å³/atom. For the electronic total energy, the calculation gives -3.6852 eV per atom. The uncorrected formation energy comes out at 1181 meV/atom.